Here is an optimized crystal structure of Zr2TePdCl from the Alexandria database. Energies are from PBE.

Lattice parameters (Å, degrees): 5.4023 5.4023 4.8894 90.00 90.00 90.00
Closest atoms and distances in Å follow each position.
Fractional coordinates of all 5 atoms:
1 Zr 0.0000 0.5000 0.0000  2 Te 2.70
2 Zr 0.5000 0.0000 0.0000  2 Te 2.70
3 Te 0.0000 0.0000 0.0000  2 Pd 2.44, 4 Zr 2.70
4 Pd 0.0000 0.0000 0.5000  2 Te 2.44
5 Cl 0.5000 0.5000 0.5000  8 Zr 3.64, 4 Pd 3.82

Calculated values
Spin magnetization ... 0.00 Bohr magnetons per cell
Space group ... No. 123
E_form (uncorrected) ... 436 meV/atom

Here is an optimized crystal structure of ThPdCl from the Alexandria database. Energies are from PBE.

Lattice parameters (Å, degrees): 7.6324 7.6324 4.7916 90.00 90.00 150.65
Closest atoms and distances in Å follow each position.
Fractional coordinates of all 6 atoms:
1 Th 0.1068 0.8932 0.7500  6 Pd 2.97-3.21, 4 Cl 3.01-3.09
2 Th 0.8932 0.1068 0.2500  6 Pd 2.97-3.21, 4 Cl 3.01-3.09
3 Pd 0.4540 0.5460 0.7500  2 Pd 2.75, 2 Th 2.97
4 Pd 0.5460 0.4540 0.2500  2 Pd 2.75, 2 Th 2.97
5 Cl 0.2300 0.7700 0.2500  4 Th 3.01-3.09, 4 Cl 3.13, 2 Pd 3.33
6 Cl 0.7700 0.2300 0.7500  4 Th 3.01-3.09, 4 Cl 3.13, 2 Pd 3.33

Calculated values
Spin magnetization ... 0.00 Bohr magnetons per cell
Space group ... No. 63
E_form (uncorrected) ... -1204 meV/atom

Here is an optimized crystal structure of Ti2PdCl from the Alexandria database. Energies are from PBE.

Lattice parameters (Å, degrees): 4.4964 4.4964 4.4964 60.00 60.00 60.00
Closest atoms and distances in Å follow each position.
Fractional coordinates of all 4 atoms:
1 Ti 0.2500 0.2500 0.2500  4 Cl 2.75, 4 Pd 2.75
2 Ti 0.7500 0.7500 0.7500  4 Pd 2.75, 4 Cl 2.75
3 Pd 0.0000 0.0000 0.0000  8 Ti 2.75
4 Cl 0.5000 0.5000 0.5000  8 Ti 2.75

Calculated values
Spin magnetization ... 0.00 Bohr magnetons per cell
Space group ... No. 225
Polymorph energy (0 for the lowest one) ... 37 meV/atom
E_form (uncorrected) ... -179 meV/atom